# 1
! CaIrPt2 meta-GGA SCAN PBEsol geometry; values from VASP
&SYSTEM
  ibrav = 0, nat = 4, ntyp = 3
/
ATOMIC_SPECIES
Ca 40.08 Ca.upf
Ir 192.22 Ir.upf
Pt 195.08 Pt.upf
ATOMIC_POSITIONS angstrom
Ca 0.000 0.000 0.000
Ir -5.247 -0.571 1.809
Pt -2.623 -0.286 0.905
Pt -7.870 -0.857 2.714
CELL_PARAMETERS angstrom
-4.296 1.417 -0.540
-3.449 -2.926 0.544
-2.749 0.367 3.614
! **DFT formation energy**: -0.0447 eV/atom
! **DOS(E_F)**: 3.83 states/eV/cell
! **SG**: Fm-3m (225)
! **Polymorph energy (0 for the lowest one)**: 170 meV per atom



# 2
! Ca3IrPt meta-GGA SCAN PBEsol geometry; values from VASP
&SYSTEM
  ibrav = 0, nat = 5, ntyp = 3
/
ATOMIC_SPECIES
Ca 40.08 Ca.upf
Ir 192.22 Ir.upf
Pt 195.08 Pt.upf
ATOMIC_POSITIONS angstrom
Ca 0.000 2.611 0.000
Ca 0.000 0.000 2.611
Ca 2.611 0.000 0.000
Ir 0.000 0.000 0.000
Pt 2.611 2.611 2.611
CELL_PARAMETERS angstrom
5.222 0.000 0.000
0.000 5.222 0.000
0.000 0.000 5.222
! **DFT formation energy**: -0.0738 eV/atom
! **DOS(E_F)**: 3.24 states/eV/cell
! **SG**: Pm-3m (221)



# 3
! CaIrPt2 meta-GGA SCAN PBEsol geometry; values from VASP
&SYSTEM
  ibrav = 0, nat = 4, ntyp = 3
/
ATOMIC_SPECIES
Ca 40.08 Ca.upf
Ir 192.22 Ir.upf
Pt 195.08 Pt.upf
ATOMIC_POSITIONS angstrom
Ca 2.014 2.014 0.000
Ir 0.000 0.000 0.000
Pt 2.014 0.000 2.006
Pt 0.000 2.014 2.006
CELL_PARAMETERS angstrom
4.028 0.000 0.000
0.000 4.028 0.000
-2.014 -2.014 4.012
! **DFT formation energy**: -0.2149 eV/atom
! **DOS(E_F)**: 3.63 states/eV/cell
! **SG**: I4/mmm (139)
! **Polymorph energy (0 for the lowest one)**: 0 meV per atom